! DyGe2Sb2Pt7 | the Alexandria database | PBE | relaxed; values from VASP
! crystal system: monoclinic
! ΔE_f (raw): -7.4 eV per formula unit
! magnetization: 0.000 μB/f.u.
! symmetry: C2/m (12)
&SYSTEM
  ibrav = 0, nat = 12, ntyp = 4
/
ATOMIC_SPECIES
Dy 162.50 Dy.upf
Ge 72.64 Ge.upf
Sb 121.76 Sb.upf
Pt 195.08 Pt.upf
CELL_PARAMETERS angstrom
2.803 -2.802 0.000
2.803 2.802 0.000
-2.789 0.000 15.503
ATOMIC_POSITIONS crystal
Dy 0.000 0.000 0.000
Ge 0.381 0.381 0.759
Ge 0.619 0.619 0.241
Sb 0.212 0.212 0.425
Sb 0.788 0.788 0.575
Pt 0.070 0.571 0.142
Pt 0.300 0.300 0.600
Pt 0.429 0.930 0.858
Pt 0.500 0.500 0.000
Pt 0.571 0.070 0.142
Pt 0.700 0.700 0.400
Pt 0.930 0.429 0.858